# Li3Ac2Pd4 | Alexandria via LeMat-Bulk | PBE | optimized geometry
data_Li3Ac2Pd4
_cell_length_a 5.7779
_cell_length_b 15.7731
_cell_length_c 7.9341
_cell_angle_alpha 90.00
_cell_angle_beta 90.00
_cell_angle_gamma 90.00
_symmetry_space_group_name_H-M 'C m c e'
_symmetry_Int_Tables_number 64
_symmetry_space_group_name_Hall '-C 2ac 2'
loop_
_atom_site_label
_atom_site_fract_x
_atom_site_fract_y
_atom_site_fract_z
Li1 0.0000 0.0000 0.0000
Li2 0.2500 0.2180 0.2500
Ac1 0.0000 0.1139 0.5821
Pd1 0.0000 0.1752 0.9772
Pd2 0.2500 0.0552 0.2500
# Mass density ... 8.3 g/cm3
# Energy relative to the elements ... -589 meV per atom
# V ... 20.1 Å³/atom
# Total magnetization ... 0.0 μB/cell